Record 1
Entry from the Alexandria database: Pu3SbS6 after structural relaxation (GGA-PBE).

Lattice parameters (Å, degrees): 4.071 11.312 11.507 107.82 90.00 90.00
Last column: magnetic moment on the atom in μB.
Fractional positions:
Pu (0.750, 0.664, 0.490)  -5.05
Pu (0.750, 0.439, 0.834)  -4.92
S (0.250, 0.876, 0.531)  0.03
S (0.250, 0.603, 0.941)  0.08
S (0.250, 0.512, 0.384)  0.14
Pu (0.250, 0.843, 0.924)  5.01
Sb (0.750, 0.980, 0.671)  0.00
S (0.750, 0.711, 0.272)  0.15
S (0.750, 0.488, 0.616)  0.14
S (0.250, 0.079, 0.914)  -0.12
S (0.750, 0.795, 0.749)  -0.04
Sb (0.250, 0.020, 0.329)  0.00
Pu (0.250, 0.336, 0.510)  -5.05
Pu (0.750, 0.157, 0.076)  5.01
S (0.250, 0.205, 0.251)  -0.04
S (0.750, 0.124, 0.469)  0.03
S (0.750, 0.397, 0.059)  0.08
Pu (0.250, 0.561, 0.166)  -4.92
S (0.750, 0.921, 0.086)  -0.12
S (0.250, 0.289, 0.728)  0.15

Summary:
- crystal system = monoclinic
- DOS at the Fermi energy (states/eV/f.u.) = 25.7
- raw formation energy (eV per atom) = -1.26
- spin magnetization (μB per formula unit) = 4.87
- theoretical density (g/cm3) = 6.89

Record 2
Entry from the Alexandria database: Hf2ZrScAs4 after structural relaxation (GGA-PBE).

Lattice parameters (Å, degrees): 3.845 6.679 6.673 109.41 90.00 90.00
Fractional positions:
Zr (0.500, 0.500, 0.000)
Hf (0.000, 0.500, 0.500)
Hf (0.500, 0.000, 0.500)
As (0.000, 0.753, 0.253)
As (0.500, 0.249, 0.252)
As (0.000, 0.247, 0.747)
Sc (0.000, 0.000, 0.000)
As (0.500, 0.751, 0.748)

Summary:
- crystal system = monoclinic
- DOS at the Fermi energy (states/eV/f.u.) = 3.6
- energy of formation from the pure elements (eV/atom) = -1.098
- spin magnetization (μB per formula unit) = 0.00
- theoretical density (g/cm3) = 8.15

Record 3
Entry from the Alexandria database: Ce6PuO12 after structural relaxation (GGA-PBE).

Lattice parameters (Å, degrees): 6.764 6.764 6.764 99.49 99.49 99.49
Last column: magnetic moment on the atom in μB.
Fractional positions:
O (0.681, 0.069, 0.931)  -0.05
Ce (0.398, 0.862, 0.702)  0.59
Pu (0.000, 0.000, 0.000)  4.54
O (0.931, 0.069, 0.319)  -0.05
Ce (0.602, 0.138, 0.298)  0.59
O (0.069, 0.931, 0.681)  -0.05
O (0.822, 0.416, 0.567)  -0.02
O (0.319, 0.931, 0.069)  -0.05
O (0.416, 0.567, 0.822)  -0.02
O (0.931, 0.681, 0.069)  -0.05
O (0.178, 0.584, 0.433)  -0.02
O (0.584, 0.433, 0.178)  -0.02
Ce (0.702, 0.398, 0.862)  0.59
Ce (0.298, 0.602, 0.138)  0.59
Ce (0.862, 0.702, 0.398)  0.59
Ce (0.138, 0.298, 0.602)  0.59
O (0.433, 0.178, 0.584)  -0.02
O (0.567, 0.822, 0.416)  -0.02
O (0.069, 0.319, 0.931)  -0.05

Summary:
- crystal system = trigonal
- DOS at the Fermi energy (states/eV/f.u.) = 28.7
- raw formation energy (eV per atom) = -3.42
- spin magnetization (μB per formula unit) = 8.07
- theoretical density (g/cm3) = 7.18

Record 4
Entry from the Alexandria database: InGeSb after structural relaxation (GGA-PBE).

Lattice parameters (Å, degrees): 4.102 6.393 6.522 90.00 108.10 90.00
Fractional positions:
Sb (0.665, 0.521, 0.826)
Ge (0.690, 0.949, 0.880)
In (0.963, 0.631, 0.424)
Ge (0.310, 0.449, 0.120)
Sb (0.335, 0.021, 0.174)
In (0.037, 0.131, 0.576)

Summary:
- crystal system = monoclinic
- DOS at the Fermi energy (states/eV/f.u.) = 0.9
- relative energy among the computed polymorphs (eV per atom) = 0.020
- raw formation energy (eV per atom) = 0.09
- spin magnetization (μB per formula unit) = 0.00
- theoretical density (g/cm3) = 6.32